Here is AlZn2Cu after structural relaxation from Alexandria via LeMat-Bulk. Energies are from GGA-PBE.

Properties
SG = R3m
Size of the total moment = 0.00 μB/atom
VASP energy = -2.587 eV/atom
Density = 6.287 g cm⁻³
Crystal system = trigonal
Calculated volume = 14.614 A^3/atom

Geometry as CIF:
```
data_AlZn2Cu
_symmetry_space_group_name_H-M 'P 1'
_symmetry_Int_Tables_number 1
_cell_length_a 2.807
_cell_length_b 2.807
_cell_length_c 8.719
_cell_angle_alpha 80.74
_cell_angle_beta 80.74
_cell_angle_gamma 60.00
loop_
_symmetry_equiv_pos_as_xyz
'x,y,z'
loop_
_atom_site_label
_atom_site_type_symbol
_atom_site_fract_x
_atom_site_fract_y
_atom_site_fract_z
_atom_site_occupancy
Zn1 Zn 0.079 0.079 0.763 1
Zn2 Zn 0.254 0.254 0.237 1
Al1 Al 0.500 0.500 0.499 1
Cu1 Cu 0.666 0.666 0.001 1
```